# 1
## RbPmCuO2 (GGA-PBE)

Data for a geometry-optimized RbPmCuO2 structure.

Structure (POSCAR):
```
RbPmCuO2
1.0
5.331 0.000 0.000
0.000 6.239 0.870
0.000 -0.931 6.961
O Rb Pm Cu
4 2 2 2
Cartesian
3.771 5.208 0.736
1.560 0.101 7.096
1.560 4.743 4.216
3.771 0.566 3.615
5.292 2.887 2.175
0.039 2.422 5.656
2.661 -0.233 1.740
2.670 -0.698 5.221
0.000 -0.465 3.480
0.000 0.000 0.000
```

Computed properties:
Total moment   0.00 μB per formula unit
Volume   23.6 Å³/atom
ΔE_f (raw)   -1.589 eV/atom
Space group   No. 13
Crystal system   monoclinic
Density   4591 kg/m³

***

# 2
## CsRb2RuBr8 (GGA-PBE)

Data for a geometry-optimized CsRb2RuBr8 structure.

Structure (POSCAR):
```
CsRb2RuBr8
1.0
-5.819 -4.511 -0.185
-0.562 0.481 6.092
-6.090 7.840 1.394
Br Ru Rb Cs
8 1 2 1
Cartesian
-1.635 1.930 4.340
-5.252 -2.410 1.074
-10.250 3.878 6.128
-10.837 1.880 2.961
-7.220 6.221 6.227
-6.405 2.062 5.193
-2.221 -0.067 1.173
-6.067 1.748 2.108
0.000 0.000 0.000
-8.067 4.309 3.109
-4.404 -0.499 4.192
-3.045 3.920 0.697
```

Computed properties:
Total moment   2.00 μB per formula unit
Volume   36.5 Å³/atom
ΔE_f (raw)   -0.981 eV/atom
Space group   No. 2
Crystal system   triclinic
Density   3958 kg/m³

***

# 3
## Rb5ZrS4 (GGA-PBE)

Data for a geometry-optimized Rb5ZrS4 structure.

Structure (POSCAR):
```
Rb5ZrS4
1.0
9.889 0.000 0.000
0.000 7.784 0.000
0.000 0.000 10.670
Rb S Zr
10 8 2
Cartesian
2.505 5.716 1.995
4.944 1.281 0.000
0.000 6.503 5.335
7.450 2.068 3.341
7.450 2.068 7.330
2.439 2.068 7.330
7.384 5.716 1.995
2.505 5.716 8.676
7.384 5.716 8.676
2.439 2.068 3.341
0.000 0.143 8.635
6.951 4.892 5.335
4.944 7.641 7.370
7.882 2.892 0.000
2.007 2.892 0.000
4.944 7.641 3.300
2.938 4.892 5.335
0.000 0.143 2.035
4.944 6.285 5.335
0.000 1.499 0.000
```

Computed properties:
Total moment   0.54 μB per formula unit
Volume   41.1 Å³/atom
ΔE_f (raw)   -1.170 eV/atom
Space group   No. 59
Crystal system   orthorhombic
Density   2615 kg/m³